i | Ce4Ge2Os: optimized geometry, GGA-PBE.

The value obtained for the magnetization is 2.72 μB per cell. The value obtained for the density of states at the Fermi level is 17.28 states/eV/f.u.

```
Ce4Ge2Os
1.0
-2.3559 -1.1323 3.0888
4.9469 -0.3909 3.6297
-3.4675 7.6196 0.1484
Ce Ge Os
4 2 1
direct
0.0000 0.4679 0.3838
0.5000 0.2518 0.9336
0.0000 0.6750 0.7590
0.5000 0.8910 0.2093
0.5000 0.2826 0.5733
0.5000 0.8602 0.5697
0.0000 0.0714 0.0714
```

=====

ii | Ce4Ge2Os: optimized geometry, GGA-PBE.

The value obtained for the magnetization is 1.00 μB per cell. The value obtained for the density of states at the Fermi level is 12.18 states/eV/f.u.

```
Ce4Ge2Os
1.0
-1.3516 4.1635 -0.5234
-4.0552 -0.7719 4.3313
4.4326 1.8851 3.5494
Ce Ge Os
4 2 1
direct
0.5000 0.5000 0.0000
0.5000 0.0000 0.5000
0.0000 0.8272 0.8272
0.0000 0.1728 0.1728
0.0000 0.3209 0.6791
0.0000 0.6791 0.3209
0.5000 0.5000 0.5000
```

=====

The structure with the greatest stability is ii.

=====

i | La2YTh: optimized geometry, GGA-PBE.

The value obtained for the magnetization is 0.01 μB per cell. The value obtained for the density of states at the Fermi level is 7.25 states/eV/f.u.

```
La2YTh
1.0
-0.0559 1.3332 3.4007
1.9126 -1.6473 2.6408
10.0204 6.7495 -0.5155
La Y Th
2 1 1
direct
0.0816 0.0816 0.7559
0.2521 0.2521 0.2448
0.4996 0.4996 0.5005
0.6667 0.6667 0.9988
```

=====

ii | La2YTh: optimized geometry, GGA-PBE.

The value obtained for the magnetization is 0.00 μB per cell. The value obtained for the density of states at the Fermi level is 5.72 states/eV/f.u.

```
La2YTh
1.0
3.4717 0.9044 0.4502
1.4520 6.8160 4.0725
0.6916 4.3219 14.9071
Th La Y
2 4 2
direct
0.0000 0.5000 0.5000
0.5000 0.0000 0.5000
0.1305 0.1089 0.2606
0.7671 0.2335 0.9999
0.8695 0.8911 0.7394
0.2329 0.7665 0.0001
0.6350 0.5960 0.2694
0.3650 0.4040 0.7306
```

=====

The structure with the greatest stability is ii.

=====

i | BC2: optimized geometry, GGA-PBE.

The value obtained for the magnetization is 0.00 μB per cell. The value obtained for the density of states at the Fermi level is 0.40 states/eV/f.u.

```
BC2
1.0
3.9578 0.0201 -5.4803
-0.5060 2.5721 -6.7637
0.3390 -0.0735 7.2456
B C
4 8
direct
0.6247 0.2797 0.3450
0.1288 0.1435 0.9853
0.5003 0.8453 0.6550
0.9962 0.9815 0.0147
0.1437 0.4507 0.6930
0.4822 0.1524 0.3297
0.6131 0.6220 0.9911
0.5119 0.5030 0.0089
0.0127 0.3323 0.6805
0.1122 0.7927 0.3195
0.9813 0.6743 0.3070
0.6428 0.9726 0.6703
```

=====

ii | BC2: optimized geometry, GGA-PBE.

The value obtained for the magnetization is 0.00 μB per cell. The value obtained for the density of states at the Fermi level is 0.36 states/eV/f.u.

```
BC2
1.0
-2.1171 0.7676 -1.2056
1.7201 -1.4347 -1.2280
-6.3818 -11.1611 4.1004
B C
4 8
direct
0.6667 0.3333 0.8491
0.3333 0.6667 0.6417
0.6667 0.3333 0.7234
0.0000 0.0000 0.3672
0.6667 0.3333 0.3178
0.3333 0.6667 0.5248
0.6667 0.3333 0.2057
0.0000 0.0000 0.9012
0.3333 0.6667 0.1666
0.3333 0.6667 0.0521
0.0000 0.0000 0.0128
0.0000 0.0000 0.4877
```

=====

The structure with the greatest stability is i.

=====

i | Co2CuCl: optimized geometry, GGA-PBE.

The value obtained for the magnetization is 4.01 μB per cell. The value obtained for the density of states at the Fermi level is 5.24 states/eV/f.u.

```
Co2CuCl
1.0
-2.9838 -3.1862 0.1730
1.9825 -1.7286 2.3566
-1.6503 1.6881 2.6266
Co Cl Cu
2 1 1
direct
0.0000 0.5000 0.5000
0.0000 0.0000 0.0000
0.5000 0.0000 0.5000
0.5000 0.5000 0.0000
```

=====

ii | Co2CuCl: optimized geometry, GGA-PBE.

The value obtained for the magnetization is 3.90 μB per cell. The value obtained for the density of states at the Fermi level is 5.92 states/eV/f.u.

```
Co2CuCl
1.0
-1.9263 2.1929 0.1554
-3.1138 -2.7668 0.4451
0.5012 0.1331 4.3336
Co Cl Cu
2 1 1
direct
0.0000 0.0000 0.0000
0.5000 0.5000 0.0000
0.0000 0.5000 0.5000
0.5000 0.0000 0.5000
```

=====

The structure with the greatest stability is ii.

=====

i | AlHgRh2: optimized geometry, GGA-PBE.

The value obtained for the magnetization is 0.36 μB per cell. The value obtained for the density of states at the Fermi level is 3.61 states/eV/f.u.

```
AlHgRh2
1.0
4.2983 -0.0840 -0.0083
3.3181 2.7336 -0.0083
1.0825 0.3766 5.5016
Al Hg Rh
1 1 2
direct
0.7500 0.7500 0.7500
0.2500 0.2500 0.2500
0.0124 0.0124 0.9544
0.4876 0.4876 0.5456
```

=====

ii | AlHgRh2: optimized geometry, GGA-PBE.

The value obtained for the magnetization is 0.00 μB per cell. The value obtained for the density of states at the Fermi level is 5.33 states/eV/f.u.

```
AlHgRh2
1.0
3.1440 0.0000 0.0000
0.0000 3.1440 0.0000
0.0000 0.0000 6.5524
Hg Rh Al
1 2 1
direct
0.5000 0.5000 0.7530
0.5000 0.5000 0.2835
0.0000 0.0000 0.0163
0.0000 0.0000 0.4472
```

=====

The structure with the greatest stability is i.

=====

i | Ca2AcCd: optimized geometry, GGA-PBE.

The value obtained for the magnetization is 0.00 μB per cell. The value obtained for the density of states at the Fermi level is 5.08 states/eV/f.u.

```
Ca2AcCd
1.0
-2.6517 4.4590 -0.9672
-2.2260 -5.1615 -3.2836
-5.9722 -1.9936 7.1824
Cd Ca Ac
2 4 2
direct
0.7640 0.5281 0.7500
0.2360 0.4719 0.2500
0.6497 0.2993 0.4426
0.6497 0.2993 0.0574
0.3503 0.7007 0.5574
0.3503 0.7007 0.9426
0.0535 0.1074 0.7500
0.9465 0.8926 0.2500
```

=====

ii | Ca2AcCd: optimized geometry, GGA-PBE.

The value obtained for the magnetization is 0.00 μB per cell. The value obtained for the density of states at the Fermi level is 5.22 states/eV/f.u.

```
Ca2AcCd
1.0
5.8488 0.0000 0.0000
2.9244 5.0652 0.0000
2.9244 1.6884 4.7755
Ca Cd Ac
2 1 1
direct
0.7500 0.7500 0.7500
0.2500 0.2500 0.2500
0.5000 0.5000 0.5000
0.0000 0.0000 0.0000
```

=====

The structure with the greatest stability is i.